[1]
! CeP2N6 (PBE, optimized geometry); values from VASP
&SYSTEM
  ibrav = 0, nat = 9, ntyp = 3
/
ATOMIC_SPECIES
Ce 140.12 Ce.upf
P 30.97 P.upf
N 14.01 N.upf
ATOMIC_POSITIONS crystal
Ce 0.000 0.000 0.000
P 0.237 0.237 0.644
P 0.763 0.763 0.356
N 0.046 0.046 0.600
N 0.259 0.259 0.400
N 0.350 0.350 0.905
N 0.650 0.650 0.095
N 0.741 0.741 0.600
N 0.954 0.954 0.400
CELL_PARAMETERS angstrom
4.984 -1.858 0.000
4.984 1.858 0.000
-2.677 0.000 5.921
! space group	C2/m (12)
! formation energy (no corrections)	-27.37	kJ/mol of atoms
! DFT total energy	-69.3	eV for the cell shown

---

[2]
! Ce3PN2 (PBE, optimized geometry); values from VASP
&SYSTEM
  ibrav = 0, nat = 6, ntyp = 3
/
ATOMIC_SPECIES
Ce 140.12 Ce.upf
P 30.97 P.upf
N 14.01 N.upf
ATOMIC_POSITIONS crystal
Ce 0.000 0.000 0.000
Ce 0.312 0.312 0.000
Ce 0.688 0.688 0.000
P 0.500 0.000 0.500
N 0.168 0.668 0.500
N 0.832 0.332 0.500
CELL_PARAMETERS angstrom
-1.838 2.715 5.605
1.838 -2.715 5.605
1.838 2.715 -5.605
! space group	Immm (71)
! formation energy (no corrections)	-131.01	kJ/mol of atoms
! DFT total energy	-48.0	eV for the cell shown

---

Q: Among the records above, which one has the highest formation energy (no corrections)?
A: CeP2N6

---

Q: Which of these has the highest DFT total energy?
A: Ce3PN2